{
  "formula": "CoTeF6",
  "functional": "GGA+U",
  "state": "optimized geometry",
  "e_tot_ev_per_atom": -4.43,
  "total_magnetization_mub_per_atom": 0.37,
  "dos_ef_per_ev_fu": 0.00,
  "sg": "C2, No. 5",
  "lattice": [[6.374, 0.654, -0.408], [0.378, 4.311, 2.299], [-0.345, -0.154, 4.885]],
  "species": ["Co", "Te", "F", "F", "F", "F", "F", "F"],
  "fractional_positions": [[0.500, 0.932, 0.932], [0.000, 0.010, 0.010], [0.770, 0.826, 0.258], [0.230, 0.258, 0.826], [0.141, 0.957, 0.408], [0.320, 0.656, 0.118], [0.680, 0.118, 0.656], [0.859, 0.408, 0.957]]
}